A relaxed structure of KRb2Co3F12, computed with PBE+U.

Structure (POSCAR):
```
KRb2Co3F12
1.0
-1.2148 -4.8327 5.2809
-4.2089 -5.7190 -1.5158
3.1651 -6.5119 -0.5452
K Rb Co F
1 2 3 12
Cartesian
0.0000 0.0000 0.0000
-1.3814 -10.4361 1.9693
-0.8772 -6.6275 1.2506
-0.6074 -2.4164 2.6405
-2.1044 -2.8595 -0.7579
1.5825 -3.2559 -0.2726
1.3220 -8.7534 0.5590
-3.3368 -12.1311 3.0517
-1.4540 -12.8529 0.5473
-1.3760 -7.7191 4.1479
-0.1669 -12.4719 3.4690
-3.2204 -8.2650 -0.0389
-3.5806 -8.3102 2.6609
1.0782 -4.9325 0.1682
-0.8046 -4.2107 2.6727
-0.8826 -9.3445 -0.9280
-2.0916 -4.5917 -0.2490
0.9618 -8.7986 3.2589
```

Output
* N(E_F): 2.0 states/eV/cell
* theoretical density: 3.61 g cm⁻³
* E: -4.483 eV/atom